[1]
! HfCoPbAu PBE relaxed; values from VASP
&SYSTEM
  ibrav = 0, nat = 4, ntyp = 4
/
ATOMIC_SPECIES
Au 196.97 Au.upf
Co 58.93 Co.upf
Hf 178.49 Hf.upf
Pb 207.20 Pb.upf
ATOMIC_POSITIONS crystal
Au 0.750 0.750 0.750
Co 0.000 0.000 0.000
Hf 0.250 0.250 0.250
Pb 0.500 0.500 0.500
CELL_PARAMETERS angstrom
3.694 2.121 2.095
0.274 0.155 4.737
3.254 -2.602 2.275
! final energy: -5.737 eV per atom
! SG: F-43m, No. 216
! crystal system: cubic
! magnetic moment: 0.146 μB per atom

[2]
! ZnSbW4N2 PBE relaxed; values from VASP
&SYSTEM
  ibrav = 0, nat = 8, ntyp = 4
/
ATOMIC_SPECIES
N 14.01 N.upf
Sb 121.76 Sb.upf
W 183.84 W.upf
Zn 65.41 Zn.upf
ATOMIC_POSITIONS crystal
N 0.000 0.000 0.247
N 0.000 0.000 0.753
Sb 0.333 0.667 0.500
W 0.333 0.667 0.152
W 0.667 0.333 0.342
W 0.667 0.333 0.658
W 0.333 0.667 0.848
Zn 0.667 0.333 0.000
CELL_PARAMETERS angstrom
2.939 0.000 0.000
-1.469 2.545 0.000
0.000 0.000 14.599
! final energy: -8.856 eV per atom
! SG: P-6m2, No. 187
! crystal system: hexagonal
! magnetic moment: 0.001 μB per atom

[3]
! Sb2Os3Pb2 PBE relaxed; values from VASP
&SYSTEM
  ibrav = 0, nat = 7, ntyp = 3
/
ATOMIC_SPECIES
Os 190.23 Os.upf
Pb 207.20 Pb.upf
Sb 121.76 Sb.upf
ATOMIC_POSITIONS crystal
Os 0.370 0.370 0.370
Os 0.625 0.625 0.625
Os 0.882 0.882 0.882
Pb 0.005 0.005 0.005
Pb 0.495 0.495 0.495
Sb 0.248 0.248 0.248
Sb 0.750 0.750 0.750
CELL_PARAMETERS angstrom
-6.683 3.423 3.423
-3.423 3.423 6.683
-3.423 6.683 3.423
! final energy: -6.374 eV per atom
! SG: R3m, No. 160
! crystal system: trigonal
! magnetic moment: 0.003 μB per atom

[4]
! ZrScNO PBE relaxed; values from VASP
&SYSTEM
  ibrav = 0, nat = 8, ntyp = 4
/
ATOMIC_SPECIES
N 14.01 N.upf
O 16.00 O.upf
Sc 44.96 Sc.upf
Zr 91.22 Zr.upf
ATOMIC_POSITIONS crystal
N 0.000 0.938 0.323
N 0.000 0.438 0.677
O 0.500 0.438 0.145
O 0.500 0.938 0.855
Sc 0.500 0.939 0.175
Sc 0.500 0.439 0.825
Zr 0.000 0.438 0.353
Zr 0.000 0.938 0.647
CELL_PARAMETERS angstrom
-2.346 2.615 1.151
-2.665 -3.165 1.756
3.279 0.420 5.733
! final energy: -9.186 eV per atom
! SG: Pmma, No. 51
! crystal system: orthorhombic
! magnetic moment: 0.000 μB per atom

[5]
! KLiMoPd PBE relaxed; values from VASP
&SYSTEM
  ibrav = 0, nat = 4, ntyp = 4
/
ATOMIC_SPECIES
K 39.10 K.upf
Li 6.94 Li.upf
Mo 95.94 Mo.upf
Pd 106.42 Pd.upf
ATOMIC_POSITIONS crystal
K 0.500 0.500 0.500
Li 0.750 0.750 0.750
Mo 0.000 0.000 0.000
Pd 0.250 0.250 0.250
CELL_PARAMETERS angstrom
-1.625 -3.333 3.241
-2.962 1.386 3.683
-4.739 -1.341 -0.013
! final energy: -3.832 eV per atom
! SG: F-43m, No. 216
! crystal system: cubic
! magnetic moment: 0.994 μB per atom

[6]
! CsSiAuO3 PBE relaxed; values from VASP
&SYSTEM
  ibrav = 0, nat = 24, ntyp = 4
/
ATOMIC_SPECIES
Au 196.97 Au.upf
Cs 132.91 Cs.upf
O 16.00 O.upf
Si 28.09 Si.upf
ATOMIC_POSITIONS crystal
Au 0.599 0.500 0.016
Au 0.099 0.000 0.484
Au 0.901 0.500 0.516
Au 0.401 0.000 0.984
Cs 0.362 0.500 0.249
Cs 0.862 0.000 0.251
Cs 0.138 0.500 0.749
Cs 0.638 0.000 0.751
O 0.743 0.000 0.041
O 0.947 0.500 0.064
O 0.155 0.000 0.112
O 0.655 0.500 0.388
O 0.447 0.000 0.436
O 0.243 0.500 0.459
O 0.757 0.000 0.541
O 0.553 0.500 0.564
O 0.345 0.000 0.612
O 0.845 0.500 0.888
O 0.053 0.000 0.936
O 0.257 0.500 0.959
Si 0.113 0.500 0.036
Si 0.613 0.000 0.464
Si 0.387 0.500 0.536
Si 0.887 0.000 0.964
CELL_PARAMETERS angstrom
10.142 0.000 0.000
0.000 3.042 0.000
0.000 0.000 12.601
! final energy: -5.571 eV per atom
! SG: Pnma, No. 62
! crystal system: orthorhombic

[7]
! TeOsI3 PBE relaxed; values from VASP
&SYSTEM
  ibrav = 0, nat = 20, ntyp = 3
/
ATOMIC_SPECIES
I 126.90 I.upf
Os 190.23 Os.upf
Te 127.60 Te.upf
ATOMIC_POSITIONS crystal
I 0.139 0.690 0.042
I 0.341 0.205 0.068
I 0.747 0.560 0.198
I 0.253 0.560 0.302
I 0.659 0.205 0.432
I 0.861 0.690 0.458
I 0.139 0.310 0.542
I 0.341 0.795 0.568
I 0.747 0.440 0.698
I 0.253 0.440 0.802
I 0.659 0.795 0.932
I 0.861 0.310 0.958
Os 0.044 0.358 0.146
Os 0.956 0.358 0.354
Os 0.044 0.642 0.646
Os 0.956 0.642 0.854
Te 0.819 0.116 0.206
Te 0.181 0.116 0.294
Te 0.819 0.884 0.706
Te 0.181 0.884 0.794
CELL_PARAMETERS angstrom
-5.599 0.088 -4.533
-4.685 -0.842 5.770
0.800 13.114 2.562
! final energy: -3.586 eV per atom
! SG: P2/c, No. 13
! crystal system: monoclinic
! magnetic moment: 0.000 μB per atom

[8]
! Ta12Ni17 PBE relaxed; values from VASP
&SYSTEM
  ibrav = 0, nat = 29, ntyp = 2
/
ATOMIC_SPECIES
Ni 58.69 Ni.upf
Ta 180.95 Ta.upf
ATOMIC_POSITIONS crystal
Ni 0.000 0.000 0.000
Ni 0.708 0.000 0.000
Ni 0.375 0.188 0.000
Ni 0.188 0.375 0.000
Ni 0.000 0.708 0.000
Ni 0.812 0.812 0.187
Ni 0.375 0.000 0.188
Ni 0.000 0.375 0.188
Ni 0.292 0.292 0.292
Ni 0.188 0.000 0.375
Ni 0.000 0.188 0.375
Ni 0.813 0.625 0.625
Ni 0.625 0.813 0.625
Ni 0.000 0.000 0.708
Ni 0.812 0.187 0.812
Ni 0.187 0.812 0.812
Ni 0.625 0.625 0.813
Ta 0.716 0.433 0.000
Ta 0.433 0.716 0.000
Ta 0.567 0.567 0.283
Ta 0.717 0.284 0.284
Ta 0.284 0.717 0.284
Ta 0.716 0.000 0.433
Ta 0.000 0.716 0.433
Ta 0.567 0.283 0.567
Ta 0.283 0.567 0.567
Ta 0.433 0.000 0.716
Ta 0.000 0.433 0.716
Ta 0.284 0.284 0.717
CELL_PARAMETERS angstrom
-5.305 -5.404 -2.757
1.623 -1.538 7.742
-3.111 7.404 -0.673
! energy of formation from the pure elements: -0.111 eV/atom
! SG: I-43m, No. 217
! crystal system: cubic
! magnetic moment: 0.002 μB per atom

[9]
! Mg2ScBeCu4 PBE relaxed; values from VASP
&SYSTEM
  ibrav = 0, nat = 8, ntyp = 4
/
ATOMIC_SPECIES
Be 9.01 Be.upf
Cu 63.55 Cu.upf
Mg 24.30 Mg.upf
Sc 44.96 Sc.upf
ATOMIC_POSITIONS crystal
Be 0.500 0.500 0.000
Cu 0.500 0.000 0.222
Cu 0.000 0.500 0.222
Cu 0.500 0.000 0.778
Cu 0.000 0.500 0.778
Mg 0.000 0.000 0.000
Mg 0.500 0.500 0.500
Sc 0.000 0.000 0.500
CELL_PARAMETERS angstrom
-0.864 -4.140 -0.744
2.654 -1.126 3.183
-4.699 0.260 4.010
! final energy: -3.530 eV per atom
! SG: P4/mmm, No. 123
! crystal system: tetragonal
! magnetic moment: 0.001 μB per atom

[10]
! Er3Mg3CdIn2 PBE relaxed; values from VASP
&SYSTEM
  ibrav = 0, nat = 9, ntyp = 4
/
ATOMIC_SPECIES
Cd 112.41 Cd.upf
Er 167.26 Er.upf
In 114.82 In.upf
Mg 24.30 Mg.upf
ATOMIC_POSITIONS crystal
Cd 0.000 0.000 0.000
Er 0.572 0.000 0.000
Er 0.428 0.428 0.000
Er 0.000 0.572 0.000
In 0.667 0.333 0.500
In 0.333 0.667 0.500
Mg 0.241 0.000 0.500
Mg 0.000 0.241 0.500
Mg 0.759 0.759 0.500
CELL_PARAMETERS angstrom
-2.223 -3.062 -6.491
-2.327 -2.918 6.522
-3.641 2.770 -0.060
! final energy: -3.092 eV per atom
! SG: P-62m, No. 189
! crystal system: hexagonal
! magnetic moment: 0.000 μB per atom

[11]
! Fe2SnPd PBE relaxed; values from VASP
&SYSTEM
  ibrav = 0, nat = 4, ntyp = 3
/
ATOMIC_SPECIES
Fe 55.84 Fe.upf
Pd 106.42 Pd.upf
Sn 118.71 Sn.upf
ATOMIC_POSITIONS crystal
Fe 0.000 0.000 0.000
Fe 0.750 0.750 0.750
Pd 0.250 0.250 0.250
Sn 0.500 0.500 0.500
CELL_PARAMETERS angstrom
1.585 -4.054 0.534
2.713 -0.872 3.333
-1.372 -2.467 3.356
! final energy: -6.513 eV per atom
! SG: F-43m, No. 216
! crystal system: cubic
! magnetic moment: 1.316 μB per atom

[12]
! PuThGe PBE relaxed; values from VASP
&SYSTEM
  ibrav = 0, nat = 3, ntyp = 3
/
ATOMIC_SPECIES
Ge 72.64 Ge.upf
Pu 244.00 Pu.upf
Th 232.04 Th.upf
ATOMIC_POSITIONS crystal
Ge 0.000 0.000 0.000
Pu 0.250 0.250 0.250
Th 0.750 0.750 0.750
CELL_PARAMETERS angstrom
0.000 3.510 3.510
3.510 0.000 3.510
3.510 3.510 0.000
! final energy: -8.940 eV per atom
! SG: F-43m, No. 216
! crystal system: cubic
! magnetic moment: 2.152 μB per atom

[13]
! NaCuTe3Pd PBE relaxed; values from VASP
&SYSTEM
  ibrav = 0, nat = 12, ntyp = 4
/
ATOMIC_SPECIES
Cu 63.55 Cu.upf
Na 22.99 Na.upf
Pd 106.42 Pd.upf
Te 127.60 Te.upf
ATOMIC_POSITIONS crystal
Cu 0.557 0.557 0.250
Cu 0.443 0.443 0.750
Na 0.238 0.238 0.250
Na 0.762 0.762 0.750
Pd 0.000 0.000 0.000
Pd 0.000 0.000 0.500
Te 0.637 0.637 0.030
Te 0.935 0.935 0.250
Te 0.637 0.637 0.470
Te 0.363 0.363 0.530
Te 0.065 0.065 0.750
Te 0.363 0.363 0.970
CELL_PARAMETERS angstrom
0.366 -5.188 -4.719
-0.598 -6.890 -1.219
-10.474 1.308 -2.249
! final energy: -3.612 eV per atom
! SG: Cmcm, No. 63
! crystal system: orthorhombic

[14]
! SmAsN2O PBE relaxed; values from VASP
&SYSTEM
  ibrav = 0, nat = 10, ntyp = 4
/
ATOMIC_SPECIES
As 74.92 As.upf
N 14.01 N.upf
O 16.00 O.upf
Sm 150.36 Sm.upf
ATOMIC_POSITIONS crystal
As 0.750 0.000 0.277
As 0.250 0.000 0.723
N 0.750 0.500 0.206
N 0.000 0.000 0.500
N 0.500 0.000 0.500
N 0.250 0.500 0.794
O 0.000 0.000 0.000
O 0.500 0.000 0.000
Sm 0.250 0.500 0.230
Sm 0.750 0.500 0.770
CELL_PARAMETERS angstrom
5.457 0.000 0.000
0.000 3.702 0.000
0.000 0.000 5.548
! final energy: -6.896 eV per atom
! SG: Pmma, No. 51
! crystal system: orthorhombic
! magnetic moment: 0.001 μB per atom

[15]
! In2HgTe2Se2 PBE relaxed; values from VASP
&SYSTEM
  ibrav = 0, nat = 7, ntyp = 4
/
ATOMIC_SPECIES
Hg 200.59 Hg.upf
In 114.82 In.upf
Se 78.96 Se.upf
Te 127.60 Te.upf
ATOMIC_POSITIONS crystal
Hg 0.000 0.993 0.002
In 0.267 0.747 0.500
In 0.498 0.513 0.999
Se 0.407 0.892 0.266
Se 0.631 0.598 0.733
Te 0.862 0.367 0.286
Te 0.084 0.140 0.715
CELL_PARAMETERS angstrom
-0.479 -4.022 -4.627
5.104 2.385 -2.596
1.244 -3.147 6.629
! final energy: -3.095 eV per atom
! SG: P1, No. 1
! crystal system: triclinic

[16]
! Hf2ZrBi2 PBE relaxed; values from VASP
&SYSTEM
  ibrav = 0, nat = 5, ntyp = 3
/
ATOMIC_SPECIES
Bi 208.98 Bi.upf
Hf 178.49 Hf.upf
Zr 91.22 Zr.upf
ATOMIC_POSITIONS crystal
Bi 0.605 0.605 0.210
Bi 0.395 0.395 0.790
Hf 0.750 0.250 0.500
Hf 0.250 0.750 0.500
Zr 0.000 0.000 0.000
CELL_PARAMETERS angstrom
1.517 0.781 3.881
-1.667 -3.644 1.384
5.935 -1.866 -4.259
! final energy: -7.086 eV per atom
! SG: I4/mmm, No. 139
! crystal system: tetragonal
! magnetic moment: 0.001 μB per atom

[17]
! DyHoBC2 PBE relaxed; values from VASP
&SYSTEM
  ibrav = 0, nat = 5, ntyp = 4
/
ATOMIC_SPECIES
B 10.81 B.upf
C 12.01 C.upf
Dy 162.50 Dy.upf
Ho 164.93 Ho.upf
ATOMIC_POSITIONS crystal
B 0.000 0.000 0.000
C 0.138 0.138 0.272
C 0.861 0.861 0.727
Dy 0.349 0.349 0.704
Ho 0.652 0.652 0.297
CELL_PARAMETERS angstrom
2.552 -2.552 0.000
2.552 2.552 0.000
-2.474 0.000 5.481
! final energy: -7.319 eV per atom
! SG: Cm, No. 8
! crystal system: monoclinic
! magnetic moment: 0.003 μB per atom

[18]
! TbBiBr6 PBE relaxed; values from VASP
&SYSTEM
  ibrav = 0, nat = 8, ntyp = 3
/
ATOMIC_SPECIES
Bi 208.98 Bi.upf
Br 79.90 Br.upf
Tb 158.93 Tb.upf
ATOMIC_POSITIONS crystal
Bi 0.166 0.834 0.000
Br 0.232 0.239 0.245
Br 0.591 0.940 0.246
Br 0.933 0.577 0.246
Br 0.423 0.067 0.754
Br 0.060 0.409 0.754
Br 0.761 0.768 0.755
Tb 0.834 0.166 0.000
CELL_PARAMETERS angstrom
-6.450 0.368 -3.271
2.630 -6.401 2.133
-1.625 2.830 6.275
! final energy: -3.649 eV per atom
! SG: C2, No. 5
! crystal system: monoclinic
! magnetic moment: 0.000 μB per atom

[19]
! CoCuAgSn PBE relaxed; values from VASP
&SYSTEM
  ibrav = 0, nat = 4, ntyp = 4
/
ATOMIC_SPECIES
Ag 107.87 Ag.upf
Co 58.93 Co.upf
Cu 63.55 Cu.upf
Sn 118.71 Sn.upf
ATOMIC_POSITIONS crystal
Ag 0.500 0.500 0.500
Co 0.750 0.750 0.750
Cu 0.250 0.250 0.250
Sn 0.000 0.000 0.000
CELL_PARAMETERS angstrom
0.000 3.127 3.127
3.127 0.000 3.127
3.127 3.127 0.000
! final energy: -4.259 eV per atom
! SG: F-43m, No. 216
! crystal system: cubic
! magnetic moment: 0.187 μB per atom

[20]
! Hf4ZnN3 PBE relaxed; values from VASP
&SYSTEM
  ibrav = 0, nat = 16, ntyp = 3
/
ATOMIC_SPECIES
Hf 178.49 Hf.upf
N 14.01 N.upf
Zn 65.41 Zn.upf
ATOMIC_POSITIONS crystal
Hf 0.333 0.667 0.055
Hf 0.000 0.000 0.159
Hf 0.000 0.000 0.341
Hf 0.333 0.667 0.445
Hf 0.667 0.333 0.555
Hf 0.000 0.000 0.659
Hf 0.000 0.000 0.841
Hf 0.667 0.333 0.945
N 0.000 0.000 0.000
N 0.667 0.333 0.107
N 0.667 0.333 0.393
N 0.000 0.000 0.500
N 0.333 0.667 0.607
N 0.333 0.667 0.893
Zn 0.333 0.667 0.250
Zn 0.667 0.333 0.750
CELL_PARAMETERS angstrom
-0.235 -3.090 -0.829
1.932 0.872 2.408
-18.315 -2.822 15.715
! final energy: -9.622 eV per atom
! SG: P6_3/mmc, No. 194
! crystal system: hexagonal
! magnetic moment: 0.000 μB per atom

[21]
! SrGdCu PBE relaxed; values from VASP
&SYSTEM
  ibrav = 0, nat = 3, ntyp = 3
/
ATOMIC_SPECIES
Cu 63.55 Cu.upf
Gd 157.25 Gd.upf
Sr 87.62 Sr.upf
ATOMIC_POSITIONS crystal
Cu 0.000 0.000 0.000
Gd 0.250 0.250 0.250
Sr 0.750 0.750 0.750
CELL_PARAMETERS angstrom
-3.380 2.448 2.905
-2.428 4.082 -1.815
-4.959 -0.269 -1.093
! final energy: -3.141 eV per atom
! SG: F-43m, No. 216
! crystal system: cubic
! magnetic moment: 0.008 μB per atom

[22]
! LuTlCoTe3 PBE relaxed; values from VASP
&SYSTEM
  ibrav = 0, nat = 24, ntyp = 4
/
ATOMIC_SPECIES
Co 58.93 Co.upf
Lu 174.97 Lu.upf
Te 127.60 Te.upf
Tl 204.38 Tl.upf
ATOMIC_POSITIONS crystal
Co 0.765 0.250 0.190
Co 0.265 0.250 0.310
Co 0.735 0.750 0.690
Co 0.235 0.750 0.810
Lu 0.478 0.750 0.182
Lu 0.978 0.750 0.318
Lu 0.022 0.250 0.682
Lu 0.522 0.250 0.818
Te 0.603 0.250 0.062
Te 0.969 0.250 0.154
Te 0.230 0.750 0.211
Te 0.730 0.750 0.289
Te 0.469 0.250 0.346
Te 0.103 0.250 0.438
Te 0.897 0.750 0.562
Te 0.531 0.750 0.654
Te 0.270 0.250 0.711
Te 0.770 0.250 0.789
Te 0.031 0.750 0.846
Te 0.397 0.750 0.938
Tl 0.817 0.750 0.006
Tl 0.317 0.750 0.494
Tl 0.683 0.250 0.506
Tl 0.183 0.250 0.994
CELL_PARAMETERS angstrom
-6.978 -5.077 8.947
1.654 -3.842 -0.891
9.455 2.087 8.558
! final energy: -4.411 eV per atom
! SG: Pnma, No. 62
! crystal system: orthorhombic
! magnetic moment: 0.333 μB per atom